This record from Alexandria via LeMat-Bulk describes an optimized crystal structure of LiInBr2. The functional is GGA-PBE.

Structure (POSCAR):
```
LiInBr2
1.0
2.075 1.198 7.539
-2.075 1.198 7.539
0.000 -2.396 7.539
Li In Br
1 1 2
Direct
0.000 0.000 0.000
0.500 0.500 0.500
0.267 0.267 0.267
0.733 0.733 0.733
```

Results
- Energy relative to the lowest polymorph listed for this composition: 22 meV per atom
- Crystal system: trigonal
- Spin magnetization: 0.00 μB/cell
- ΔE_f (raw): -1044 meV/atom
- SG: R-3m (166)